Record 1
This record from Alexandria via LeMat-Bulk describes a relaxed structure of Er2Th2AlGa4. The functional is GGA-PBE.

- Symmetry: No. 139
- Energy relative to the elements: -3.16 kcal/mol of atoms
- Calculated total energy: -41.05 eV/f.u.

```
Er2Th2AlGa4
1.0
-3.4995 3.4995 4.5933
3.4995 -3.4995 4.5933
3.4995 3.4995 -4.5933
Er Th Al Ga
2 2 1 4
Direct
0.2500 0.7500 0.5000
0.7500 0.2500 0.5000
0.1937 0.1937 0.0000
0.8063 0.8063 0.0000
0.5000 0.5000 0.0000
0.2512 0.2512 0.5025
0.2512 0.7488 0.0000
0.7488 0.2512 0.0000
0.7488 0.7488 0.4975
```

---

Record 2
This record from Alexandria via LeMat-Bulk describes a relaxed structure of ErThAlGa. The functional is GGA-PBE.

- Symmetry: No. 216
- Energy relative to the elements: -8.43 kcal/mol of atoms
- Calculated total energy: -20.21 eV/f.u.

```
ErThAlGa
1.0
0.0000 3.6464 3.6464
3.6464 0.0000 3.6464
3.6464 3.6464 0.0000
Er Th Al Ga
1 1 1 1
Direct
0.0000 0.0000 0.0000
0.5000 0.5000 0.5000
0.7500 0.7500 0.7500
0.2500 0.2500 0.2500
```

---

Record 3
This record from Alexandria via LeMat-Bulk describes a relaxed structure of Er2ThAl2Ga2. The functional is GGA-PBE.

- Symmetry: No. 166
- Energy relative to the elements: -8.41 kcal/mol of atoms
- Calculated total energy: -32.64 eV/f.u.

```
Er2ThAl2Ga2
1.0
2.2026 1.2717 9.7636
-2.2026 1.2717 9.7636
0.0000 -2.5433 9.7636
Er Th Al Ga
2 1 2 2
Direct
0.1292 0.1292 0.1292
0.8708 0.8708 0.8708
0.0000 0.0000 0.0000
0.3977 0.3977 0.3977
0.6023 0.6023 0.6023
0.2534 0.2534 0.2534
0.7466 0.7466 0.7466
```

---

Record 4
This record from Alexandria via LeMat-Bulk describes a relaxed structure of Er2Tm2AlGa4. The functional is GGA-PBE.

- Symmetry: No. 139
- Energy relative to the elements: -4.98 kcal/mol of atoms
- Calculated total energy: -35.86 eV/f.u.

```
Er2Tm2AlGa4
1.0
-3.4568 3.4568 4.3949
3.4568 -3.4568 4.3949
3.4568 3.4568 -4.3949
Er Tm Al Ga
2 2 1 4
Direct
0.1876 0.1876 0.0000
0.8124 0.8124 0.0000
0.2500 0.7500 0.5000
0.7500 0.2500 0.5000
0.5000 0.5000 0.0000
0.2477 0.2477 0.4955
0.2477 0.7523 0.0000
0.7523 0.2477 0.0000
0.7523 0.7523 0.5045
```

---

Record 5
This record from Alexandria via LeMat-Bulk describes a relaxed structure of ErTm2Al2Ga2. The functional is GGA-PBE.

- Symmetry: No. 166
- Energy relative to the elements: -8.13 kcal/mol of atoms
- Calculated total energy: -29.51 eV/f.u.

```
ErTm2Al2Ga2
1.0
2.1729 1.2545 9.6859
-2.1729 1.2545 9.6859
0.0000 -2.5091 9.6859
Er Tm Al Ga
1 2 2 2
Direct
0.0000 0.0000 0.0000
0.1272 0.1272 0.1272
0.8728 0.8728 0.8728
0.3941 0.3941 0.3941
0.6059 0.6059 0.6059
0.2594 0.2594 0.2594
0.7406 0.7406 0.7406
```

---

Record 6
This record from Alexandria via LeMat-Bulk describes a relaxed structure of Er2TmAl2Ga2. The functional is GGA-PBE.

- Symmetry: No. 166
- Energy relative to the elements: -8.16 kcal/mol of atoms
- Calculated total energy: -29.61 eV/f.u.

```
Er2TmAl2Ga2
1.0
2.1682 1.2518 9.7919
-2.1682 1.2518 9.7919
0.0000 -2.5036 9.7919
Er Tm Al Ga
2 1 2 2
Direct
0.1265 0.1265 0.1265
0.8735 0.8735 0.8735
0.0000 0.0000 0.0000
0.3931 0.3931 0.3931
0.6069 0.6069 0.6069
0.2610 0.2610 0.2610
0.7390 0.7390 0.7390
```

---

Record 7
This record from Alexandria via LeMat-Bulk describes a relaxed structure of Er2AlZn4Ga3. The functional is GGA-PBE.

- Symmetry: No. 115
- Energy relative to the elements: -9.09 kcal/mol of atoms
- Calculated total energy: -30.99 eV/f.u.

```
Er2AlZn4Ga3
1.0
4.0891 0.0000 0.0000
0.0000 4.0891 0.0000
0.0000 0.0000 10.8414
Er Al Zn Ga
2 1 4 3
Direct
0.0000 0.5000 0.2477
0.5000 0.0000 0.7523
0.0000 0.0000 0.5000
0.0000 0.0000 0.0000
0.0000 0.5000 0.6417
0.5000 0.0000 0.3583
0.5000 0.5000 0.0000
0.0000 0.5000 0.8616
0.5000 0.0000 0.1384
0.5000 0.5000 0.5000
```

---

Record 8
This record from Alexandria via LeMat-Bulk describes a relaxed structure of ErAlZnGa. The functional is GGA-PBE.

- Symmetry: No. 47
- Energy above the most stable polymorph in this dataset: 197 meV per atom
- Energy relative to the elements: -1.10 kcal/mol of atoms
- Calculated total energy: -12.80 eV/f.u.

```
ErAlZnGa
1.0
3.3205 0.0000 0.0000
0.0000 5.0161 0.0000
0.0000 0.0000 5.1295
Er Al Zn Ga
1 1 1 1
Direct
0.0000 0.0000 0.0000
0.5000 0.5000 0.5000
0.5000 0.0000 0.5000
0.5000 0.5000 0.0000
```

---

Record 9
This record from Alexandria via LeMat-Bulk describes a relaxed structure of Er4AlZn2Ga. The functional is GGA-PBE.

- Symmetry: No. 166
- Energy relative to the elements: -9.94 kcal/mol of atoms
- Calculated total energy: -31.02 eV/f.u.

```
Er4AlZn2Ga
1.0
2.5043 1.4458 8.1979
-2.5043 1.4458 8.1979
0.0000 -2.8917 8.1979
Er Al Zn Ga
4 1 2 1
Direct
0.1237 0.1237 0.1237
0.3739 0.3739 0.3739
0.6261 0.6261 0.6261
0.8763 0.8763 0.8763
0.5000 0.5000 0.5000
0.2469 0.2469 0.2469
0.7531 0.7531 0.7531
0.0000 0.0000 0.0000
```

---

Record 10
This record from Alexandria via LeMat-Bulk describes a relaxed structure of ErAlZnGa. The functional is GGA-PBE.

- Symmetry: No. 216
- Energy above the most stable polymorph in this dataset: 0 meV per atom
- Energy relative to the elements: -5.63 kcal/mol of atoms
- Calculated total energy: -13.58 eV/f.u.

```
ErAlZnGa
1.0
0.0000 3.3497 3.3497
3.3497 0.0000 3.3497
3.3497 3.3497 0.0000
Er Al Zn Ga
1 1 1 1
Direct
0.0000 0.0000 0.0000
0.5000 0.5000 0.5000
0.7500 0.7500 0.7500
0.2500 0.2500 0.2500
```

---

Record 11
This record from Alexandria via LeMat-Bulk describes a relaxed structure of ErAlZn6Ga. The functional is GGA-PBE.

- Symmetry: No. 74
- Energy relative to the elements: 3.28 kcal/mol of atoms
- Calculated total energy: -17.69 eV/f.u.

```
ErAlZn6Ga
1.0
-2.7088 4.8861 6.7972
2.7088 -4.8861 6.7972
2.7088 4.8861 -6.7972
Er Al Zn Ga
2 2 12 2
Direct
0.4314 0.1814 0.2500
0.5686 0.8186 0.7500
0.0000 0.0000 0.5000
0.0000 0.5000 0.0000
0.1383 0.3987 0.2273
0.1383 0.9111 0.7396
0.1985 0.9485 0.2500
0.3285 0.0889 0.7273
0.3285 0.6013 0.2396
0.3378 0.5878 0.7500
0.6622 0.4122 0.2500
0.6715 0.3987 0.7604
0.6715 0.9111 0.2727
0.8015 0.0515 0.7500
0.8617 0.0889 0.2604
0.8617 0.6013 0.7727
0.0000 0.5000 0.5000
0.5000 0.5000 0.0000
```

---

Record 12
This record from Alexandria via LeMat-Bulk describes a relaxed structure of ErZrAlGa. The functional is GGA-PBE.

- Symmetry: No. 216
- Energy relative to the elements: -8.45 kcal/mol of atoms
- Calculated total energy: -21.35 eV/f.u.

```
ErZrAlGa
1.0
0.0000 3.4670 3.4670
3.4670 0.0000 3.4670
3.4670 3.4670 0.0000
Er Zr Al Ga
1 1 1 1
Direct
0.0000 0.0000 0.0000
0.5000 0.5000 0.5000
0.7500 0.7500 0.7500
0.2500 0.2500 0.2500
```

---

Record 13
This record from Alexandria via LeMat-Bulk describes a relaxed structure of GdErAl2. The functional is GGA-PBE.

- Symmetry: No. 166
- Energy above the most stable polymorph in this dataset: 242 meV per atom
- Energy relative to the elements: -3.64 kcal/mol of atoms
- Calculated total energy: -26.76 eV/f.u.

```
GdErAl2
1.0
1.7781 1.0266 9.2910
-1.7781 1.0266 9.2910
0.0000 -2.0532 9.2910
Gd Er Al
1 1 2
Direct
0.0000 0.0000 0.0000
0.5000 0.5000 0.5000
0.2488 0.2488 0.2488
0.7512 0.7512 0.7512
```

---

Record 14
This record from Alexandria via LeMat-Bulk describes a relaxed structure of GdErAl6. The functional is GGA-PBE.

- Symmetry: No. 160
- Energy above the most stable polymorph in this dataset: 2 meV per atom
- Energy relative to the elements: -9.91 kcal/mol of atoms
- Calculated total energy: -44.54 eV/f.u.

```
GdErAl6
1.0
3.0877 1.7827 14.0886
-3.0877 1.7827 14.0886
0.0000 -3.5654 14.0886
Gd Er Al
3 3 18
Direct
0.0000 0.0000 0.0000
0.2176 0.2176 0.2176
0.7180 0.7180 0.7180
0.1089 0.1089 0.1089
0.5000 0.5000 0.5000
0.6088 0.6088 0.6088
0.0330 0.4790 0.4790
0.1085 0.1085 0.6093
0.1085 0.6093 0.1085
0.1104 0.6085 0.6085
0.1852 0.7381 0.7381
0.2388 0.2388 0.6848
0.2388 0.6848 0.2388
0.4790 0.0330 0.4790
0.4790 0.4790 0.0330
0.5334 0.9788 0.9788
0.6085 0.1104 0.6085
0.6085 0.6085 0.1104
0.6093 0.1085 0.1085
0.6848 0.2388 0.2388
0.7381 0.1852 0.7381
0.7381 0.7381 0.1852
0.9788 0.5334 0.9788
0.9788 0.9788 0.5334
```

---

Record 15
This record from Alexandria via LeMat-Bulk describes a relaxed structure of GdErAl6. The functional is GGA-PBE.

- Symmetry: No. 194
- Energy above the most stable polymorph in this dataset: 0 meV per atom
- Energy relative to the elements: -9.97 kcal/mol of atoms
- Calculated total energy: -44.56 eV/f.u.

```
GdErAl6
1.0
6.1253 0.0000 0.0000
-3.0627 5.3047 0.0000
0.0000 0.0000 9.5187
Gd Er Al
2 2 12
Direct
0.0000 0.0000 0.0000
0.0000 0.0000 0.5000
0.3333 0.6667 0.2500
0.6667 0.3333 0.7500
0.0000 0.5000 0.0000
0.0000 0.5000 0.5000
0.1830 0.3659 0.7500
0.1830 0.8170 0.7500
0.3659 0.1830 0.2500
0.5000 0.0000 0.0000
0.5000 0.0000 0.5000
0.5000 0.5000 0.0000
0.5000 0.5000 0.5000
0.6341 0.8170 0.7500
0.8170 0.1830 0.2500
0.8170 0.6341 0.2500
```

---

Record 16
This record from Alexandria via LeMat-Bulk describes a relaxed structure of GdEr2Al. The functional is GGA-PBE.

- Symmetry: No. 123
- Energy above the most stable polymorph in this dataset: 0 meV per atom
- Energy relative to the elements: -4.41 kcal/mol of atoms
- Calculated total energy: -27.71 eV/f.u.

```
GdEr2Al
1.0
3.5071 0.0000 0.0000
0.0000 3.5071 0.0000
0.0000 0.0000 8.9164
Gd Er Al
1 2 1
Direct
0.0000 0.0000 0.0000
0.5000 0.5000 0.2890
0.5000 0.5000 0.7110
0.0000 0.0000 0.5000
```

---

Record 17
This record from Alexandria via LeMat-Bulk describes a relaxed structure of GdErAl2. The functional is GGA-PBE.

- Symmetry: No. 225
- Energy above the most stable polymorph in this dataset: 4 meV per atom
- Energy relative to the elements: -9.11 kcal/mol of atoms
- Calculated total energy: -27.71 eV/f.u.

```
GdErAl2
1.0
0.0000 3.6011 3.6011
3.6011 0.0000 3.6011
3.6011 3.6011 0.0000
Gd Er Al
1 1 2
Direct
0.0000 0.0000 0.0000
0.5000 0.5000 0.5000
0.2500 0.2500 0.2500
0.7500 0.7500 0.7500
```

---

Record 18
This record from Alexandria via LeMat-Bulk describes a relaxed structure of Gd2ErAl. The functional is GGA-PBE.

- Symmetry: No. 123
- Energy above the most stable polymorph in this dataset: 0 meV per atom
- Energy relative to the elements: -4.55 kcal/mol of atoms
- Calculated total energy: -37.26 eV/f.u.

```
Gd2ErAl
1.0
4.7492 0.0000 0.0000
0.0000 4.7492 0.0000
0.0000 0.0000 4.8047
Gd Er Al
2 1 1
Direct
0.0000 0.5000 0.0000
0.5000 0.0000 0.0000
0.0000 0.0000 0.5000
0.5000 0.5000 0.5000
```

---

Record 19
This record from Alexandria via LeMat-Bulk describes a relaxed structure of Gd2ErAl. The functional is GGA-PBE.

- Symmetry: No. 123
- Energy above the most stable polymorph in this dataset: 30 meV per atom
- Energy relative to the elements: -3.86 kcal/mol of atoms
- Calculated total energy: -37.14 eV/f.u.

```
Gd2ErAl
1.0
3.5062 0.0000 0.0000
0.0000 3.5062 0.0000
0.0000 0.0000 9.1196
Gd Er Al
2 1 1
Direct
0.0000 0.0000 0.2169
0.0000 0.0000 0.7831
0.5000 0.5000 0.5000
0.5000 0.5000 0.0000
```

---

Record 20
This record from Alexandria via LeMat-Bulk describes a relaxed structure of GdErAl2. The functional is GGA-PBE.

- Symmetry: No. 123
- Energy above the most stable polymorph in this dataset: 0 meV per atom
- Energy relative to the elements: -9.21 kcal/mol of atoms
- Calculated total energy: -27.73 eV/f.u.

```
GdErAl2
1.0
3.5899 0.0000 0.0000
0.0000 3.5899 0.0000
0.0000 0.0000 7.2391
Gd Er Al
1 1 2
Direct
0.0000 0.0000 0.0000
0.0000 0.0000 0.5000
0.5000 0.5000 0.2585
0.5000 0.5000 0.7415
```